# 1
FeBrF after structural relaxation, computed with GGA+U.

Unit cell a=6.025 b=3.554 c=6.760 alpha=90.00 beta=111.45 gamma=90.00
Fractional positions:
Fe (0.231, 0.250, 0.488)
Fe (0.769, 0.750, 0.512)
Br (0.322, 0.750, 0.237)
Br (0.678, 0.250, 0.763)
F (0.146, 0.750, 0.628)
F (0.854, 0.250, 0.372)

Summary:
* crystal system: monoclinic
* raw total energy: -27.7 eV/cell
* SG: No. 11

# 2
Fe2Br2F after structural relaxation, computed with GGA+U.

Unit cell a=7.578 b=7.578 c=3.385 alpha=90.00 beta=90.00 gamma=90.00
Fractional positions:
Fe (0.158, 0.342, 0.000)
Fe (0.342, 0.842, 0.000)
Fe (0.658, 0.158, 0.000)
Fe (0.842, 0.658, 0.000)
Br (0.149, 0.649, 0.500)
Br (0.351, 0.149, 0.500)
Br (0.649, 0.851, 0.500)
Br (0.851, 0.351, 0.500)
F (0.000, 0.000, 0.500)
F (0.500, 0.500, 0.500)

Summary:
* crystal system: tetragonal
* SG: No. 127
* relative energy among the computed polymorphs: 0.156 eV/atom

# 3
FeBrF3 after structural relaxation, computed with GGA+U.

Unit cell a=4.535 b=4.535 c=4.535 alpha=90.00 beta=90.00 gamma=90.00
Fractional positions:
Fe (0.000, 0.000, 0.000)
Br (0.500, 0.500, 0.500)
F (0.000, 0.500, 0.500)
F (0.500, 0.000, 0.500)
F (0.500, 0.500, 0.000)

Summary:
* crystal system: cubic
* SG: No. 221
* relative energy among the computed polymorphs: 1.597 eV/atom

What is the formula in the first record?
FeBrF